Run one
Material: BeAuSe2
Method: DFT, PBE-GGA
State: relaxed

a b c (Å): 3.4308 3.4308 6.6513
angles (deg): 90.00 90.00 90.00
Closest atoms and distances in Å follow each position.
Sites, in units of the cell vectors:
Se: 0.0000 0.0000 0.8418  4 Be 2.50, 1 Au 2.57
Au: 0.0000 0.0000 0.4557  5 Se 2.57-2.72
Se: 0.5000 0.5000 0.2701  1 Be 2.25
Be: 0.5000 0.5000 0.9325  5 Se 2.25-2.50

---

Run two
Material: BeAuSe2
Method: DFT, PBE-GGA
State: relaxed

a b c (Å): 3.7572 3.7572 7.6035
angles (deg): 88.72 88.72 58.29
Closest atoms and distances in Å follow each position.
Sites, in units of the cell vectors:
Se: 0.6672 0.6672 0.6093  3 Be 2.22-2.27
Se: 0.9252 0.9252 0.0853  3 Au 2.54-2.71
Au: 0.5706 0.5706 0.2770  1 Be 2.42, 3 Se 2.54-2.62
Be: 0.3370 0.3370 0.5284  3 Se 2.22-2.27, 1 Au 2.42

---

Run three
Material: BeAuSe2
Method: DFT, PBE-GGA
State: relaxed

a b c (Å): 2.9151 2.9151 10.2576
angles (deg): 90.00 90.00 112.40
Closest atoms and distances in Å follow each position.
Sites, in units of the cell vectors:
Be: 0.5000 0.5000 0.7500  4 Se 2.34
Au: 0.5000 0.5000 0.2500  6 Au 2.92-3.24
Se: 0.0000 0.0000 0.5852  2 Be 2.34
Se: 0.0000 0.0000 0.9148  2 Be 2.34

---

Which of them is the least stable? Correct choice: run three.

---

Run one
Material: BeAuSe2
Method: DFT, PBE-GGA
State: relaxed

a b c (Å): 4.5996 4.5996 3.8358
angles (deg): 90.00 90.00 111.17
Closest atoms and distances in Å follow each position.
Sites, in units of the cell vectors:
Se: 0.5000 0.5000 0.0000  2 Se 2.60
Be: 0.0000 0.5000 0.5000  2 Au 2.60
Au: 0.5000 0.0000 0.5000  2 Be 2.60
Se: 0.0000 0.0000 0.0000  2 Se 2.60

---

Run two
Material: BeAuSe2
Method: DFT, PBE-GGA
State: relaxed

a b c (Å): 4.6580 4.6580 4.6580
angles (deg): 60.00 60.00 60.00
Closest atoms and distances in Å follow each position.
Sites, in units of the cell vectors:
Se: 0.0000 0.0000 0.0000  4 Se 2.85, 4 Be 2.85
Au: 0.5000 0.5000 0.5000  4 Se 2.85, 4 Be 2.85
Se: 0.2500 0.2500 0.2500  4 Se 2.85, 4 Au 2.85
Be: 0.7500 0.7500 0.7500  4 Se 2.85, 4 Au 2.85

---

Run three
Material: BeAuSe2
Method: DFT, PBE-GGA
State: relaxed

a b c (Å): 5.8484 5.8484 3.4885
angles (deg): 71.79 71.79 124.22
Closest atoms and distances in Å follow each position.
Sites, in units of the cell vectors:
Se: 0.0000 0.0000 0.0000  4 Se 2.63-2.74, 2 Be 2.90, 2 Au 2.90
Se: 0.5000 0.5000 0.0000  4 Se 2.63-2.74, 2 Au 2.90, 2 Be 2.90
Be: 0.0000 0.5000 0.5000  4 Au 2.63-2.74, 4 Se 2.90
Au: 0.5000 0.0000 0.5000  4 Be 2.63-2.74, 4 Se 2.90

---

Run four
Material: BeAuSe2
Method: DFT, PBE-GGA
State: relaxed

a b c (Å): 2.7942 5.1503 5.1503
angles (deg): 90.00 90.00 90.00
Closest atoms and distances in Å follow each position.
Sites, in units of the cell vectors:
Be: 0.5000 0.0000 0.5000  2 Be 2.79, 8 Se 2.93
Se: 0.0000 0.0000 0.0000  2 Se 2.79, 4 Be 2.93, 4 Au 2.93
Se: 0.0000 0.5000 0.5000  2 Se 2.79, 4 Be 2.93, 4 Au 2.93
Au: 0.5000 0.5000 0.0000  2 Au 2.79, 8 Se 2.93

---

Which of them is the least stable? Correct choice: run two.

---

Run one
Material: BeAuSe2
Method: DFT, PBE-GGA
State: relaxed

a b c (Å): 6.0521 6.0521 6.0521
angles (deg): 148.32 138.75 52.93
Closest atoms and distances in Å follow each position.
Sites, in units of the cell vectors:
Se: 0.0810 0.0810 0.0000  2 Be 2.26
Au: 0.4161 0.4161 0.0000  2 Se 2.60, 2 Be 2.66
Be: 0.2240 0.7240 0.5000  2 Se 2.26
Se: 0.7789 0.2789 0.5000  2 Au 2.60, 4 Be 2.76

---

Run two
Material: BeAuSe2
Method: DFT, PBE-GGA
State: relaxed

a b c (Å): 9.4033 9.4033 9.4033
angles (deg): 158.30 158.30 30.88
Closest atoms and distances in Å follow each position.
Sites, in units of the cell vectors:
Au: 0.5000 0.5000 0.0000  4 Se 2.50
Se: 0.2500 0.7500 0.5000  4 Be 2.50
Be: 0.7500 0.2500 0.5000  4 Se 2.50
Se: 0.0000 0.0000 0.0000  4 Au 2.50

---

Run three
Material: BeAuSe2
Method: DFT, PBE-GGA
State: relaxed

a b c (Å): 3.5534 4.4953 5.0583
angles (deg): 66.11 90.00 90.00
Closest atoms and distances in Å follow each position.
Sites, in units of the cell vectors:
Au: 0.5000 0.2500 0.2500  2 Be 2.62
Be: 0.5000 0.7500 0.7500  4 Se 2.38, 2 Au 2.62
Se: 0.0000 0.5394 0.5635  2 Be 2.38, 1 Se 2.52
Se: 0.0000 0.9606 0.9365  2 Be 2.38, 1 Se 2.52

---

Which of them is the least stable? Correct choice: run two.

---

Run one
Material: BeAuSe2
Method: DFT, PBE-GGA
State: relaxed

a b c (Å): 4.6776 4.6776 4.6776
angles (deg): 60.00 60.00 60.00
Closest atoms and distances in Å follow each position.
Sites, in units of the cell vectors:
Se: 0.2500 0.2500 0.2500  4 Au 2.86, 4 Be 2.86
Be: 0.0000 0.0000 0.0000  8 Se 2.86
Au: 0.5000 0.5000 0.5000  8 Se 2.86
Se: 0.7500 0.7500 0.7500  4 Au 2.86, 4 Be 2.86

---

Run two
Material: BeAuSe2
Method: DFT, PBE-GGA
State: relaxed

a b c (Å): 3.4536 3.6876 7.1128
angles (deg): 90.00 90.00 90.00
Closest atoms and distances in Å follow each position.
Sites, in units of the cell vectors:
Se: 0.0000 0.0000 0.0000  4 Se 2.53
Be: 0.0000 0.5000 0.5000  4 Au 2.53
Se: 0.5000 0.5000 0.0000  4 Se 2.53
Au: 0.5000 0.0000 0.5000  4 Be 2.53

---

Run three
Material: BeAuSe2
Method: DFT, PBE-GGA
State: relaxed

a b c (Å): 3.5242 4.9546 5.8337
angles (deg): 89.53 90.00 90.00
Closest atoms and distances in Å follow each position.
Sites, in units of the cell vectors:
Be: 0.5000 0.9480 0.6790  3 Se 2.17-2.19
Au: 0.0000 0.4958 0.5680  3 Se 2.50-2.52
Se: 0.5000 0.2129 0.3756  1 Be 2.19
Se: 0.0000 0.8433 0.8775  2 Be 2.17

---

Which of them is the least stable? Correct choice: run one.

---

Run one
Material: BeAuSe2
Method: DFT, PBE-GGA
State: relaxed

a b c (Å): 7.7774 7.7774 7.7774
angles (deg): 25.81 25.81 25.81
Closest atoms and distances in Å follow each position.
Sites, in units of the cell vectors:
Se: 0.1083 0.1083 0.1083  3 Be 2.40, 1 Au 2.44
Be: 0.5000 0.5000 0.5000  6 Se 2.40
Au: 0.0000 0.0000 0.0000  2 Se 2.44
Se: 0.8917 0.8917 0.8917  3 Be 2.40, 1 Au 2.44

---

Run two
Material: BeAuSe2
Method: DFT, PBE-GGA
State: relaxed

a b c (Å): 6.4510 6.4510 4.0597
angles (deg): 71.79 71.79 31.54
Closest atoms and distances in Å follow each position.
Sites, in units of the cell vectors:
Se: 0.8910 0.8910 0.1110  2 Be 2.41, 2 Au 2.62
Se: 0.6090 0.6090 0.3890  2 Be 2.41, 2 Au 2.62
Be: 0.2500 0.2500 0.2500  4 Se 2.41, 4 Au 2.68
Au: 0.7500 0.7500 0.7500  4 Se 2.62, 4 Be 2.68

---

Which of them is the least stable? Correct choice: run two.

---

Run one
Material: BeAuSe3
Method: DFT, PBE-GGA
State: relaxed

a b c (Å): 4.5999 4.5999 4.5999
angles (deg): 90.00 90.00 90.00
Closest atoms and distances in Å follow each position.
Sites, in units of the cell vectors:
Se: 0.5000 0.0000 0.0000  2 Be 2.30
Se: 0.0000 0.5000 0.0000  2 Be 2.30
Au: 0.5000 0.5000 0.5000  12 Se 3.25
Be: 0.0000 0.0000 0.0000  6 Se 2.30
Se: 0.0000 0.0000 0.5000  2 Be 2.30

---

Run two
Material: BeAuSe3
Method: DFT, PBE-GGA
State: relaxed

a b c (Å): 5.0732 5.0732 5.0732
angles (deg): 90.00 90.00 90.00
Closest atoms and distances in Å follow each position.
Sites, in units of the cell vectors:
Se: 0.5000 0.0000 0.0000  2 Au 2.54
Se: 0.0000 0.5000 0.0000  2 Au 2.54
Se: 0.0000 0.0000 0.5000  2 Au 2.54
Be: 0.5000 0.5000 0.5000  12 Se 3.59
Au: 0.0000 0.0000 0.0000  6 Se 2.54

---

Which of them is the least stable? Correct choice: run two.

---

Run one
Material: Be2SiAu2
Method: DFT, PBE-GGA
State: relaxed

a b c (Å): 3.4154 3.4154 6.6517
angles (deg): 75.12 75.12 90.00
Closest atoms and distances in Å follow each position.
Sites, in units of the cell vectors:
Be: 0.2500 0.7500 0.5000  4 Au 2.37, 4 Be 2.42
Si: 0.0000 0.0000 0.0000  8 Au 2.82
Au: 0.3823 0.3823 0.2353  4 Be 2.37
Be: 0.7500 0.2500 0.5000  4 Au 2.37, 4 Be 2.42
Au: 0.6177 0.6177 0.7647  4 Be 2.37

---

Run two
Material: Be2SiAu2
Method: DFT, PBE-GGA
State: relaxed

a b c (Å): 7.1261 7.1261 2.7877
angles (deg): 90.00 90.00 90.00
Closest atoms and distances in Å follow each position.
Sites, in units of the cell vectors:
Au: 0.8276 0.3276 0.5000  6 Be 2.53, 2 Au 2.79
Au: 0.6724 0.8276 0.5000  6 Be 2.53, 2 Au 2.79
Be: 0.8814 0.6186 0.0000  1 Be 2.39, 6 Au 2.53
Au: 0.3276 0.1724 0.5000  6 Be 2.53, 2 Au 2.79
Be: 0.6186 0.1186 0.0000  1 Be 2.39, 6 Au 2.53
Si: 0.5000 0.5000 0.0000  2 Si 2.79, 4 Be 2.85, 8 Au 2.98
Au: 0.1724 0.6724 0.5000  6 Be 2.53, 2 Au 2.79
Be: 0.1186 0.3814 0.0000  1 Be 2.39, 6 Au 2.53
Si: 0.0000 0.0000 0.0000  2 Si 2.79, 4 Be 2.85, 8 Au 2.98
Be: 0.3814 0.8814 0.0000  1 Be 2.39, 6 Au 2.53

---

Which of them is the least stable? Correct choice: run two.

---

Run one
Material: SmBeAu3
Method: DFT, PBE-GGA
State: relaxed

a b c (Å): 4.6021 4.6021 4.6021
angles (deg): 90.00 90.00 90.00
Closest atoms and distances in Å follow each position.
Sites, in units of the cell vectors:
Au: 0.5000 0.0000 0.0000  2 Be 2.30
Be: 0.0000 0.0000 0.0000  6 Au 2.30
Sm: 0.5000 0.5000 0.5000  12 Au 3.25
Au: 0.0000 0.5000 0.0000  2 Be 2.30
Au: 0.0000 0.0000 0.5000  2 Be 2.30

---

Run two
Material: SmBeAu3
Method: DFT, PBE-GGA
State: relaxed

a b c (Å): 4.2969 4.2962 6.0392
angles (deg): 69.30 69.31 90.04
Closest atoms and distances in Å follow each position.
Sites, in units of the cell vectors:
Au: 0.1295 0.4331 0.4455  2 Be 2.38-2.39
Au: 0.6296 0.9330 0.4455  2 Be 2.38-2.39
Au: 0.8154 0.6189 0.0739  1 Be 2.25
Be: 0.0316 0.8348 0.6436  5 Au 2.25-2.39
Sm: 0.4018 0.2053 0.9026  8 Au 3.16-3.22, 4 Be 3.32-3.33

---

Which of them is the least stable? Correct choice: run one.